(1)
The following is a GGA-PBE calculation of a relaxed Ca3Ge2Pb crystal, from Alexandria via LeMat-Bulk.

a = 4.721 Å, b = 16.161 Å, c = 4.211 Å
α = 90.00°, β = 90.00°, γ = 90.00°
Space group Cmmm (No. 65)
Asymmetric unit:
Ca 0.000 0.000 0.000
Ca 0.000 0.172 0.500
Ge 0.000 0.356 0.000
Pb 0.000 0.500 0.500

Values from the calculation:
Theoretical density ... 4.9 Mg/m³
Energy of formation from the pure elements ... -0.4100 eV/atom
Magnetization ... 0.00 μB per formula unit

(2)
The following is a GGA-PBE calculation of a relaxed LiMg2HO crystal, from Alexandria via LeMat-Bulk.

a = 3.909 Å, b = 3.909 Å, c = 6.314 Å
α = 90.00°, β = 90.00°, γ = 90.00°
Space group P4/mmm (No. 123)
Asymmetric unit:
Li 0.000 0.000 0.000
Mg 0.000 0.500 0.500
H 0.500 0.500 0.000
O 0.500 0.500 0.500

Values from the calculation:
Theoretical density ... 1.2 Mg/m³
Raw total energy ... -3.247 eV per atom
Magnetization ... 0.00 μB per formula unit

(3)
The following is a GGA-PBE calculation of a relaxed YTaCu2 crystal, from Alexandria via LeMat-Bulk.

a = 3.0917 Å, b = 3.0917 Å, c = 26.6130 Å
α = 90.00°, β = 90.00°, γ = 120.00°
Space group R-3m (No. 166, hexagonal axes)
Asymmetric unit:
Y 0.0000 0.0000 0.0000
Ta 0.0000 0.0000 0.5000
Cu 0.0000 0.0000 0.2434

Values from the calculation:
Theoretical density ... 9.0 Mg/m³
ΔE to the lowest computed polymorph ... 317 meV/atom
Energy of formation from the pure elements ... 0.3848 eV/atom
Magnetization ... 0.00 μB per formula unit

(4)
The following is a GGA-PBE calculation of a relaxed SrAcGaHg crystal, from Alexandria via LeMat-Bulk.

a = 3.944 Å, b = 3.944 Å, c = 8.077 Å
α = 90.00°, β = 90.00°, γ = 90.00°
Space group P4mm (No. 99)
Asymmetric unit:
Sr 0.000 0.000 0.000
Ac 0.000 0.000 0.520
Ga 0.500 0.500 0.751
Hg 0.500 0.500 0.256

Values from the calculation:
Theoretical density ... 7.7 Mg/m³
ΔE to the lowest computed polymorph ... 10 meV/atom
Energy of formation from the pure elements ... -0.4609 eV/atom
Magnetization ... 0.00 μB per formula unit

(5)
The following is a GGA-PBE calculation of a relaxed Nd6MgS8 crystal, from Alexandria via LeMat-Bulk.

a = 11.425 Å, b = 11.425 Å, c = 11.425 Å
α = 90.00°, β = 90.00°, γ = 90.00°
Space group Fm-3m (No. 225)
Asymmetric unit:
Nd 0.000 0.250 0.250
Mg 0.000 0.000 0.000
S 0.000 0.000 0.236
S 0.250 0.250 0.250

Values from the calculation:
Theoretical density ... 5.1 Mg/m³
Uncorrected formation energy ... -1.9615 eV per atom
Magnetization ... 0.00 μB per formula unit

(6)
The following is a GGA-PBE calculation of a relaxed PrAs3Au3 crystal, from Alexandria via LeMat-Bulk.

a = 7.115 Å, b = 7.115 Å, c = 7.115 Å
α = 90.00°, β = 90.00°, γ = 90.00°
Space group Pm-3n (No. 223)
Asymmetric unit:
Pr 0.000 0.000 0.000
As 0.000 0.250 0.500
Au 0.000 0.500 0.250

Values from the calculation:
Theoretical density ... 8.8 Mg/m³
Energy of formation from the pure elements ... -0.0598 eV/atom
Magnetization ... 0.00 μB per formula unit

(7)
The following is a GGA-PBE calculation of a relaxed La8PrHg2 crystal, from Alexandria via LeMat-Bulk.

a = 17.305 Å, b = 5.529 Å, c = 8.634 Å
α = 90.00°, β = 114.51°, γ = 90.00°
Space group C2/m (No. 12)
Asymmetric unit:
La 0.049 0.000 0.241
La 0.105 0.500 0.969
La 0.152 0.000 0.709
La 0.190 0.500 0.461
Pr 0.000 0.500 0.500
Hg 0.215 0.000 0.132

Values from the calculation:
Theoretical density ... 7.3 Mg/m³
ΔE to the lowest computed polymorph ... 0 meV/atom
Energy of formation from the pure elements ... -0.1512 eV/atom
Magnetization ... 0.00 μB per formula unit

(8)
The following is a GGA-PBE calculation of a relaxed Tl3Hg2Pb7 crystal, from Alexandria via LeMat-Bulk.

a = 6.440 Å, b = 3.457 Å, c = 16.601 Å
α = 90.00°, β = 90.02°, γ = 90.00°
Space group P2/m (No. 10)
Asymmetric unit:
Tl 0.000 0.000 0.000
Tl 0.484 0.500 0.341
Hg 0.008 0.000 0.671
Pb 0.174 0.500 0.168
Pb 0.249 0.000 0.503
Pb 0.325 0.000 0.830
Pb 0.500 0.500 0.000

Values from the calculation:
Theoretical density ... 11.1 Mg/m³
Energy of formation from the pure elements ... 0.0234 eV/atom
Magnetization ... 0.00 μB per formula unit